Record 1
This record from the Alexandria database describes a relaxed Li2CdHg2Au2 crystal. The functional is GGA-PBE.

calculated volume: 267.0 Å³/cell
theoretical density: 11.5 Mg/m³
magnetization: 0.000 μB per atom
DFT formation energy: -0.266 eV/atom

CIF file:
```
data_Li2CdHg2Au2
_chemical_formula_sum 'Li4 Cd2 Hg4 Au4'
_cell_length_a 9.449
_cell_length_b 4.361
_cell_length_c 6.564
_cell_angle_alpha 90.00
_cell_angle_beta 99.26
_cell_angle_gamma 90.00
_space_group_name_H-M_alt 'C 1 2/m 1'
_space_group_IT_number 12
_space_group_name_Hall '-C 2y'
loop_
_atom_site_label
_atom_site_type_symbol
_atom_site_fract_x
_atom_site_fract_y
_atom_site_fract_z
Li1 Li 0.200 0.000 0.188
Cd1 Cd 0.000 0.500 0.000
Hg1 Hg 0.102 0.000 0.742
Au1 Au 0.135 0.500 0.421
```

Record 2
This record from the Alexandria database describes a relaxed Li5Cd2HgAu2 crystal. The functional is GGA-PBE.

calculated volume: 370.8 Å³/cell
theoretical density: 7.6 Mg/m³
magnetization: 0.000 μB per atom
DFT formation energy: -0.346 eV/atom

CIF file:
```
data_Li5Cd2HgAu2
_chemical_formula_sum 'Li10 Cd4 Hg2 Au4'
_cell_length_a 9.926
_cell_length_b 9.926
_cell_length_c 3.763
_cell_angle_alpha 90.00
_cell_angle_beta 90.00
_cell_angle_gamma 90.00
_space_group_name_H-M_alt 'P 4/m b m'
_space_group_IT_number 127
_space_group_name_Hall '-P 4 2ab'
loop_
_atom_site_label
_atom_site_type_symbol
_atom_site_fract_x
_atom_site_fract_y
_atom_site_fract_z
Li1 Li 0.000 0.500 0.000
Li2 Li 0.078 0.196 0.000
Cd1 Cd 0.167 0.667 0.500
Hg1 Hg 0.000 0.000 0.500
Au1 Au 0.130 0.370 0.500
```

Record 3
This record from the Alexandria database describes a relaxed LiCd3HgAu crystal. The functional is GGA-PBE.

calculated volume: 491.6 Å³/cell
theoretical density: 10.0 Mg/m³
magnetization: 0.000 μB per atom
DFT formation energy: -0.183 eV/atom

CIF file:
```
data_LiCd3HgAu
_chemical_formula_sum 'Li4 Cd12 Hg4 Au4'
_cell_length_a 3.387
_cell_length_b 15.269
_cell_length_c 9.506
_cell_angle_alpha 90.00
_cell_angle_beta 90.00
_cell_angle_gamma 90.00
_space_group_name_H-M_alt 'C m c m'
_space_group_IT_number 63
_space_group_name_Hall '-C 2c 2'
loop_
_atom_site_label
_atom_site_type_symbol
_atom_site_fract_x
_atom_site_fract_y
_atom_site_fract_z
Li1 Li 0.000 0.047 0.250
Cd1 Cd 0.000 0.167 0.016
Cd2 Cd 0.000 0.379 0.250
Hg1 Hg 0.000 0.500 0.000
Au1 Au 0.000 0.282 0.750
```

Record 4
This record from the Alexandria database describes a relaxed MgCdHgAu crystal. The functional is GGA-PBE.

calculated volume: 327.0 Å³/cell
theoretical density: 10.9 Mg/m³
magnetization: 0.000 μB per atom
DFT formation energy: -0.222 eV/atom

CIF file:
```
data_MgCdHgAu
_chemical_formula_sum 'Mg4 Cd4 Hg4 Au4'
_cell_length_a 6.889
_cell_length_b 6.889
_cell_length_c 6.889
_cell_angle_alpha 90.00
_cell_angle_beta 90.00
_cell_angle_gamma 90.00
_space_group_name_H-M_alt 'F -4 3 m'
_space_group_IT_number 216
_space_group_name_Hall 'F -4 2 3'
loop_
_atom_site_label
_atom_site_type_symbol
_atom_site_fract_x
_atom_site_fract_y
_atom_site_fract_z
Mg1 Mg 0.000 0.000 0.000
Cd1 Cd 0.000 0.000 0.500
Hg1 Hg 0.250 0.250 0.250
Au1 Au 0.250 0.250 0.750
```